(1)
# UZnNi (PBE-GGA, relaxed)
data_UZnNi
_chemical_formula_sum 'U2 Zn2 Ni2'
_cell_length_a 4.4465
_cell_length_b 4.4465
_cell_length_c 5.7755
_cell_angle_alpha 90.00
_cell_angle_beta 90.00
_cell_angle_gamma 120.00
_symmetry_space_group_name_H-M 'P 63/m m c'
_symmetry_Int_Tables_number 194
_symmetry_space_group_name_Hall '-P 6c 2c'
loop_
_atom_site_label
_atom_site_fract_x
_atom_site_fract_y
_atom_site_fract_z
_atom_site_occupancy
U1 0.0000 0.0000 0.0000 1
Zn1 0.3333 0.6667 0.2500 1
Ni1 0.3333 0.6667 0.7500 1
# energy of formation from the pure elements	-0.08	eV/atom
# density	12.16	g cm⁻³

(2)
# UZnNi (PBE-GGA, relaxed)
data_UZnNi
_chemical_formula_sum 'U4 Zn4 Ni4'
_cell_length_a 6.3376
_cell_length_b 6.3376
_cell_length_c 6.3376
_cell_angle_alpha 90.00
_cell_angle_beta 90.00
_cell_angle_gamma 90.00
_symmetry_space_group_name_H-M 'F -4 3 m'
_symmetry_Int_Tables_number 216
_symmetry_space_group_name_Hall 'F -4 2 3'
loop_
_atom_site_label
_atom_site_fract_x
_atom_site_fract_y
_atom_site_fract_z
_atom_site_occupancy
U1 0.0000 0.0000 0.0000 1
Zn1 0.2500 0.2500 0.2500 1
Ni1 0.2500 0.2500 0.7500 1
# energy of formation from the pure elements	0.90	eV/atom
# density	9.45	g cm⁻³

What did the second record say?
# UZnNi (PBE-GGA, relaxed)
data_UZnNi
_chemical_formula_sum 'U4 Zn4 Ni4'
_cell_length_a 6.3376
_cell_length_b 6.3376
_cell_length_c 6.3376
_cell_angle_alpha 90.00
_cell_angle_beta 90.00
_cell_angle_gamma 90.00
_symmetry_space_group_name_H-M 'F -4 3 m'
_symmetry_Int_Tables_number 216
_symmetry_space_group_name_Hall 'F -4 2 3'
loop_
_atom_site_label
_atom_site_fract_x
_atom_site_fract_y
_atom_site_fract_z
_atom_site_occupancy
U1 0.0000 0.0000 0.0000 1
Zn1 0.2500 0.2500 0.2500 1
Ni1 0.2500 0.2500 0.7500 1
# energy of formation from the pure elements	0.90	eV/atom
# density	9.45	g cm⁻³

- What is the formula in the first record?
  UZnNi